# 1
The following is a DFT calculation (SCAN) of SiMoAu3 at its PBEsol-relaxed geometry.

Calculated values
ΔE_f (raw) = 1.45 eV per atom
space-group type = No. 221

a = 4.921 Å, b = 4.921 Å, c = 4.921 Å
α = 90.00°, β = 90.00°, γ = 90.00°
Atoms (fractional coordinates):
Mo (0.000, 0.000, 0.000)
Au (0.000, 0.500, 0.000)
Au (0.000, 0.000, 0.500)
Au (0.500, 0.000, 0.000)
Si (0.500, 0.500, 0.500)


# 2
The following is a DFT calculation (SCAN) of SiMoAu at its PBEsol-relaxed geometry.

Calculated values
ΔE_f (raw) = 0.18 eV per atom
space-group type = No. 107

a = 3.062 Å, b = 3.062 Å, c = 5.277 Å
α = 106.86°, β = 106.86°, γ = 90.00°
Atoms (fractional coordinates):
Au (0.010, 0.010, 0.021)
Mo (0.311, 0.311, 0.621)
Si (0.679, 0.679, 0.358)


# 3
The following is a DFT calculation (SCAN) of SrMoAu at its PBEsol-relaxed geometry.

Calculated values
energy above the most stable polymorph in this dataset = 536 meV/atom
formation energy from the elements = 84 kJ per mole of atoms
space-group type = No. 156

a = 3.066 Å, b = 3.066 Å, c = 7.532 Å
α = 90.00°, β = 90.00°, γ = 120.00°
Atoms (fractional coordinates):
Au (0.000, 0.000, 0.976)
Mo (0.667, 0.333, 0.689)
Sr (0.333, 0.667, 0.334)


# 4
The following is a DFT calculation (SCAN) of SrMoAu at its PBEsol-relaxed geometry.

Calculated values
energy above the most stable polymorph in this dataset = 0 meV/atom
formation energy from the elements = 32 kJ per mole of atoms
space-group type = No. 187

a = 4.486 Å, b = 4.416 Å, c = 4.416 Å
α = 120.00°, β = 90.00°, γ = 90.00°
Atoms (fractional coordinates):
Au (0.000, 0.000, 0.000)
Mo (0.000, 0.333, 0.667)
Sr (0.500, 0.667, 0.333)


# 5
The following is a DFT calculation (SCAN) of Ta2MoAu at its PBEsol-relaxed geometry.

Calculated values
formation energy from the elements = -17 kJ per mole of atoms
space-group type = No. 123

a = 3.289 Å, b = 3.289 Å, c = 6.208 Å
α = 90.00°, β = 90.00°, γ = 90.00°
Atoms (fractional coordinates):
Mo (0.500, 0.500, 0.500)
Au (0.500, 0.500, 0.000)
Ta (0.000, 0.000, 0.736)
Ta (0.000, 0.000, 0.264)


# 6
The following is a DFT calculation (SCAN) of TaMo4Au at its PBEsol-relaxed geometry.

Calculated values
formation energy from the elements = 24 kJ per mole of atoms
space-group type = No. 216

a = 5.171 Å, b = 5.171 Å, c = 5.171 Å
α = 60.00°, β = 60.00°, γ = 60.00°
Atoms (fractional coordinates):
Au (0.000, 0.000, 0.000)
Mo (0.375, 0.375, 0.375)
Mo (0.375, 0.375, 0.874)
Mo (0.874, 0.375, 0.375)
Mo (0.375, 0.874, 0.375)
Ta (0.750, 0.750, 0.750)